# LiCrClO | Alexandria | GGA+U | relaxed
# Uncorrected energy = -21.80 eV/f.u.
# Crystal system = orthorhombic
# Theoretical density = 2.76 g/cm³
# D(E_F) = 0.724 states/eV/f.u.
data_LiCrClO
_cell_length_a 3.5078
_cell_length_b 3.5168
_cell_length_c 5.3786
_cell_angle_alpha 90.00
_cell_angle_beta 90.00
_cell_angle_gamma 90.00
_symmetry_space_group_name_H-M 'P 1'
_symmetry_Int_Tables_number 1
loop_
_symmetry_equiv_pos_as_xyz
'x,y,z'
loop_
_atom_site_label
_atom_site_type_symbol
_atom_site_fract_x
_atom_site_fract_y
_atom_site_fract_z
Li1 Li 0.0000 0.0000 0.0000
Cr1 Cr 0.5000 0.5000 0.6569
Cl1 Cl 0.5000 0.0000 0.3097
O1 O 0.0000 0.5000 0.8153